1.
Tm3BeGe2 after structural relaxation, computed with GGA-PBE.

POSCAR file:
```
Tm3BeGe2
1.0
-2.942 -1.385 2.362
-5.245 -4.314 -9.061
5.560 -9.549 1.328
Tm Be Ge
12 4 8
Cartesian
-2.369 -2.571 -2.748
-0.258 -12.676 -2.623
-4.376 -9.003 -5.599
1.750 -6.244 0.228
-3.274 -5.356 -5.508
0.647 -9.892 0.137
-1.643 -4.715 0.318
-0.983 -10.533 -5.690
-0.952 -5.842 -2.901
-1.675 -9.405 -2.470
-6.453 -6.275 -6.587
3.826 -8.973 1.215
-0.700 -2.222 -0.465
-1.927 -13.025 -4.906
-3.514 -7.269 -3.509
0.887 -7.978 -1.862
-1.686 -7.791 -4.957
-0.941 -7.456 -0.414
-3.001 -2.090 0.165
0.375 -13.157 -5.537
0.918 -3.339 0.896
-3.545 -11.909 -6.267
-3.823 -5.076 -2.608
1.196 -10.171 -2.763
```

* ΔH_f (0 K): -0.6760 eV per atom

2.
Pm2Al4AgPd3 after structural relaxation, computed with GGA-PBE.

POSCAR file:
```
Pm2Al4AgPd3
1.0
-2.182 2.024 -3.069
0.488 -3.378 -2.575
-9.146 -4.177 3.747
Pm Al Ag Pd
2 4 1 3
Cartesian
-3.306 0.001 -0.627
-6.687 -4.854 1.552
-0.847 -0.677 -2.822
0.000 0.000 0.000
-6.907 -1.644 0.848
-3.086 -3.210 0.077
-5.420 -2.765 -0.949
-4.573 -2.088 1.873
-9.041 -2.618 1.722
-0.952 -2.235 -0.797
```

* ΔH_f (0 K): -0.7338 eV per atom

3.
SiBTeI2 after structural relaxation, computed with GGA-PBE.

POSCAR file:
```
SiBTeI2
1.0
-4.757 -1.360 -0.475
1.437 -4.590 -1.251
-0.100 -1.387 4.972
I Si Te B
2 1 1 1
Cartesian
0.719 -2.295 -0.626
-2.378 -0.680 -0.237
-1.710 -3.668 1.623
-0.050 -0.693 2.486
0.000 0.000 0.000
```

* energy relative to the lowest polymorph listed for this composition: 0.000 eV/atom
* formation energy (no corrections): 96.3 kJ per mole of atoms

4.
Pa2PBr2 after structural relaxation, computed with GGA-PBE.

POSCAR file:
```
Pa2PBr2
1.0
-3.099 2.344 1.041
-3.633 -0.641 -1.602
-4.567 -6.015 7.716
Pa P Br
2 1 2
Cartesian
-4.798 0.257 0.681
-6.501 -4.569 6.474
0.000 0.000 0.000
-2.977 -1.509 2.306
-8.323 -2.803 4.850
```

* formation energy (no corrections): -123.9 kJ per mole of atoms

5.
HgIrW after structural relaxation, computed with GGA-PBE.

POSCAR file:
```
HgIrW
1.0
5.144 0.018 -0.003
2.828 4.296 0.003
-3.632 -2.812 2.316
Hg Ir W
1 1 1
Cartesian
7.968 4.312 0.000
2.512 1.359 0.000
5.465 2.957 0.000
```

* ΔH_f (0 K): 0.4204 eV per atom
* energy relative to the lowest polymorph listed for this composition: 0.184 eV/atom

6.
ErPa2Sn9 after structural relaxation, computed with GGA-PBE.

POSCAR file:
```
ErPa2Sn9
1.0
4.657 0.000 0.000
0.000 4.657 0.000
0.000 0.000 13.998
Er Pa Sn
1 2 9
Cartesian
0.000 0.000 0.000
0.000 0.000 4.714
0.000 0.000 9.284
2.329 2.329 0.000
2.329 2.329 4.671
2.329 2.329 9.327
2.329 0.000 2.352
2.329 0.000 6.999
2.329 0.000 11.646
0.000 2.329 2.352
0.000 2.329 6.999
0.000 2.329 11.646
```

* ΔH_f (0 K): -0.3219 eV per atom

Please write out number 5 again, unchanged.
HgIrW after structural relaxation, computed with GGA-PBE.

POSCAR file:
```
HgIrW
1.0
5.144 0.018 -0.003
2.828 4.296 0.003
-3.632 -2.812 2.316
Hg Ir W
1 1 1
Cartesian
7.968 4.312 0.000
2.512 1.359 0.000
5.465 2.957 0.000
```

* ΔH_f (0 K): 0.4204 eV per atom
* energy relative to the lowest polymorph listed for this composition: 0.184 eV/atom

Repeat the second record exactly.
Pm2Al4AgPd3 after structural relaxation, computed with GGA-PBE.

POSCAR file:
```
Pm2Al4AgPd3
1.0
-2.182 2.024 -3.069
0.488 -3.378 -2.575
-9.146 -4.177 3.747
Pm Al Ag Pd
2 4 1 3
Cartesian
-3.306 0.001 -0.627
-6.687 -4.854 1.552
-0.847 -0.677 -2.822
0.000 0.000 0.000
-6.907 -1.644 0.848
-3.086 -3.210 0.077
-5.420 -2.765 -0.949
-4.573 -2.088 1.873
-9.041 -2.618 1.722
-0.952 -2.235 -0.797
```

* ΔH_f (0 K): -0.7338 eV per atom